Record 1
The following is a DFT calculation (PBE-GGA) of a relaxed structure of CsGaTc.

Unit cell a=7.435 b=7.435 c=7.435 alpha=90.00 beta=90.00 gamma=90.00
Space group F-43m (No. 216)
Unique sites:
Cs: 0.000 0.000 0.000 (multiplicity 4)
Ga: 0.250 0.250 0.250 (multiplicity 4)
Tc: 0.000 0.000 0.500 (multiplicity 4)

Results
distance to the lowest polymorph of the same formula: 0 meV per atom
energy: -38.598 eV per cell



Record 2
The following is a DFT calculation (PBE-GGA) of a relaxed structure of MgBeAlCu.

Unit cell a=6.034 b=6.034 c=6.034 alpha=90.00 beta=90.00 gamma=90.00
Space group F-43m (No. 216)
Unique sites:
Mg: 0.000 0.000 0.000 (multiplicity 4)
Be: 0.250 0.250 0.750 (multiplicity 4)
Al: 0.250 0.250 0.250 (multiplicity 4)
Cu: 0.000 0.000 0.500 (multiplicity 4)

Results
distance to the lowest polymorph of the same formula: 122 meV per atom
energy: -47.910 eV per cell



Record 3
The following is a DFT calculation (PBE-GGA) of a relaxed structure of YFeSbPt.

Unit cell a=6.720 b=6.720 c=6.720 alpha=90.00 beta=90.00 gamma=90.00
Space group F-43m (No. 216)
Unique sites:
Y: 0.000 0.000 0.000 (multiplicity 4)
Fe: 0.000 0.000 0.500 (multiplicity 4)
Sb: 0.250 0.250 0.250 (multiplicity 4)
Pt: 0.250 0.250 0.750 (multiplicity 4)

Results
distance to the lowest polymorph of the same formula: 94 meV per atom
energy: -104.302 eV per cell



Record 4
The following is a DFT calculation (PBE-GGA) of a relaxed structure of Nb2Se5.

Unit cell a=15.611 b=6.609 c=6.751 alpha=90.00 beta=103.23 gamma=90.00
Space group C2/c (No. 15)
Unique sites:
Nb: 0.147 0.234 0.328 (multiplicity 8)
Se: 0.000 0.419 0.250 (multiplicity 4)
Se: 0.107 0.087 0.954 (multiplicity 8)
Se: 0.195 0.388 0.679 (multiplicity 8)

Results
energy: -164.656 eV per cell



Record 5
The following is a DFT calculation (PBE-GGA) of a relaxed structure of PrNd3Se3N4.

Unit cell a=8.158 b=4.106 c=13.693 alpha=90.00 beta=90.00 gamma=90.00
Space group Amm2 (No. 38)
Unique sites:
Pr: 0.000 0.000 0.000 (multiplicity 2)
Nd: 0.258 0.000 0.670 (multiplicity 4)
Nd: 0.500 0.000 0.991 (multiplicity 2)
Se: 0.170 0.000 0.344 (multiplicity 4)
Se: 0.500 0.000 0.309 (multiplicity 2)
N: 0.000 0.000 0.594 (multiplicity 2)
N: 0.256 0.000 0.082 (multiplicity 4)
N: 0.500 0.000 0.575 (multiplicity 2)

Results
energy: -145.663 eV per cell



Record 6
The following is a DFT calculation (PBE-GGA) of a relaxed structure of Zr2Al2Mo.

Unit cell a=3.555 b=3.555 c=15.940 alpha=90.00 beta=90.00 gamma=90.00
Space group I4/mmm (No. 139)
Unique sites:
Zr: 0.000 0.000 0.095 (multiplicity 4)
Al: 0.000 0.500 0.250 (multiplicity 4)
Mo: 0.000 0.000 0.500 (multiplicity 2)

Results
energy: -69.177 eV per cell



Record 7
The following is a DFT calculation (PBE-GGA) of a relaxed structure of LuAgSnSe2S.

Unit cell a=4.050 b=13.507 c=10.229 alpha=90.00 beta=90.00 gamma=90.00
Space group Cmcm (No. 63)
Unique sites:
Lu: 0.000 0.000 0.000 (multiplicity 4)
Ag: 0.000 0.467 0.250 (multiplicity 4)
Sn: 0.000 0.262 0.750 (multiplicity 4)
Se: 0.000 0.355 0.045 (multiplicity 8)
S: 0.000 0.085 0.250 (multiplicity 4)

Results
energy: -111.207 eV per cell



Record 8
The following is a DFT calculation (PBE-GGA) of a relaxed structure of MgIrNO.

Unit cell a=3.229 b=5.905 c=5.371 alpha=90.00 beta=90.00 gamma=90.00
Space group Pmc2_1 (No. 26)
Unique sites:
Mg: 0.000 0.210 0.000 (multiplicity 2)
Ir: 0.500 0.279 0.480 (multiplicity 2)
N: 0.000 0.133 0.396 (multiplicity 2)
O: 0.500 0.372 0.887 (multiplicity 2)

Results
distance to the lowest polymorph of the same formula: 455 meV per atom
energy: -50.620 eV per cell



Record 9
The following is a DFT calculation (PBE-GGA) of a relaxed structure of ZnGaNO.

Unit cell a=3.587 b=3.587 c=7.032 alpha=90.00 beta=90.00 gamma=90.00
Space group P4/nmm (No. 129, origin choice 2)
Unique sites:
Zn: 0.250 0.750 0.000 (multiplicity 2)
Ga: 0.250 0.250 0.378 (multiplicity 2)
N: 0.250 0.250 0.843 (multiplicity 2)
O: 0.250 0.750 0.500 (multiplicity 2)

Results
distance to the lowest polymorph of the same formula: 830 meV per atom
energy: -36.149 eV per cell



Record 10
The following is a DFT calculation (PBE-GGA) of a relaxed structure of GdZrCd2Ag4.

Unit cell a=4.899 b=4.899 c=6.843 alpha=90.00 beta=90.00 gamma=90.00
Space group P4/mmm (No. 123)
Unique sites:
Gd: 0.000 0.000 0.000 (multiplicity 1)
Zr: 0.500 0.500 0.500 (multiplicity 1)
Cd: 0.000 0.000 0.500 (multiplicity 1)
Cd: 0.500 0.500 0.000 (multiplicity 1)
Ag: 0.000 0.500 0.264 (multiplicity 4)

Results
energy of formation from the pure elements: -198 meV/atom
energy: -27.875 eV per cell



Record 11
The following is a DFT calculation (PBE-GGA) of a relaxed structure of PaMoPd.

Unit cell a=6.388 b=6.388 c=6.388 alpha=90.00 beta=90.00 gamma=90.00
Space group F-43m (No. 216)
Unique sites:
Pa: 0.000 0.000 0.000 (multiplicity 4)
Mo: 0.250 0.250 0.750 (multiplicity 4)
Pd: 0.250 0.250 0.250 (multiplicity 4)

Results
distance to the lowest polymorph of the same formula: 214 meV per atom
energy of formation from the pure elements: 511 meV/atom
energy: -95.945 eV per cell



Record 12
The following is a DFT calculation (PBE-GGA) of a relaxed structure of LaGd2Zn3Ag3.

Unit cell a=4.121 b=13.009 c=7.514 alpha=90.00 beta=90.00 gamma=90.00
Space group Amm2 (No. 38)
Unique sites:
La: 0.000 0.000 0.000 (multiplicity 2)
Gd: 0.000 0.206 0.618 (multiplicity 4)
Zn: 0.500 0.000 0.653 (multiplicity 2)
Zn: 0.500 0.124 0.293 (multiplicity 4)
Ag: 0.000 0.000 0.417 (multiplicity 2)
Ag: 0.500 0.171 0.909 (multiplicity 4)

Results
energy of formation from the pure elements: -304 meV/atom
energy: -58.466 eV per cell



- energy of number 5 (PrNd3Se3N4)?
  -145.663 eV per cell



- The highest energy belongs to which entry?
  GdZrCd2Ag4



Copy entry 11 word for word.
The following is a DFT calculation (PBE-GGA) of a relaxed structure of PaMoPd.

Unit cell a=6.388 b=6.388 c=6.388 alpha=90.00 beta=90.00 gamma=90.00
Space group F-43m (No. 216)
Unique sites:
Pa: 0.000 0.000 0.000 (multiplicity 4)
Mo: 0.250 0.250 0.750 (multiplicity 4)
Pd: 0.250 0.250 0.250 (multiplicity 4)

Results
distance to the lowest polymorph of the same formula: 214 meV per atom
energy of formation from the pure elements: 511 meV/atom
energy: -95.945 eV per cell



- Among the records above, which one has the highest energy?
  GdZrCd2Ag4